Record 1
The following is a GGA-PBE calculation of an optimized crystal structure of Dy2AlGa12, from Alexandria.

Computed properties:
- energy of formation (eV per atom) = -0.252

CIF file:
```
data_Dy2AlGa12
_symmetry_space_group_name_H-M 'P 4/n b m'
_symmetry_Int_Tables_number 125
_cell_length_a 5.878
_cell_length_b 5.878
_cell_length_c 16.969
_cell_angle_alpha 90.00
_cell_angle_beta 90.00
_cell_angle_gamma 90.00
loop_
_symmetry_equiv_pos_as_xyz
'x,y,z'
'-x,-y,-z'
'-y+1/2,x,z'
'y+1/2,-x,-z'
'-x+1/2,-y+1/2,z'
'x+1/2,y+1/2,-z'
'y,-x+1/2,z'
'-y,x+1/2,-z'
'x,-y+1/2,-z'
'-x,y+1/2,z'
'-y+1/2,-x+1/2,-z'
'y+1/2,x+1/2,z'
'-x+1/2,y,-z'
'x+1/2,-y,z'
'y,x,-z'
'-y,-x,z'
loop_
_atom_site_label
_atom_site_type_symbol
_atom_site_fract_x
_atom_site_fract_y
_atom_site_fract_z
Dy1 Dy 0.250 0.750 0.226
Al1 Al 0.250 0.750 0.500
Ga1 Ga 0.002 0.502 0.395
Ga2 Ga 0.074 0.574 0.934
Ga3 Ga 0.250 0.250 0.153
Ga4 Ga 0.250 0.250 0.298
```

***

Record 2
The following is a GGA-PBE calculation of an optimized crystal structure of PmTh3Sn12, from Alexandria.

Computed properties:
- energy of formation (eV per atom) = -0.461

CIF file:
```
data_PmTh3Sn12
_symmetry_space_group_name_H-M 'P 4/m m m'
_symmetry_Int_Tables_number 123
_symmetry_space_group_name_Hall '-P 4 2'
_cell_length_a 4.792
_cell_length_b 4.792
_cell_length_c 18.704
_cell_angle_alpha 90.00
_cell_angle_beta 90.00
_cell_angle_gamma 90.00
loop_
_atom_site_label
_atom_site_type_symbol
_atom_site_fract_x
_atom_site_fract_y
_atom_site_fract_z
Pm1 Pm 0.000 0.000 0.000
Th1 Th 0.000 0.000 0.250
Th2 Th 0.000 0.000 0.500
Sn1 Sn 0.000 0.500 0.124
Sn2 Sn 0.000 0.500 0.375
Sn3 Sn 0.500 0.500 0.000
Sn4 Sn 0.500 0.500 0.249
Sn5 Sn 0.500 0.500 0.500
```